Entry 1:
! Ga2TcIr (GGA-PBE, optimized geometry); values from VASP
&SYSTEM
  ibrav = 0, nat = 4, ntyp = 3
/
ATOMIC_SPECIES
Ga 69.72 Ga.upf
Tc 98.00 Tc.upf
Ir 192.22 Ir.upf
ATOMIC_POSITIONS crystal
Ga 0.0000 0.5000 0.0000
Ga 0.5000 0.0000 0.0000
Tc 0.0000 0.0000 0.5000
Ir 0.5000 0.5000 0.5000
CELL_PARAMETERS angstrom
4.3525 0.0000 0.0000
0.0000 4.3525 0.0000
0.0000 0.0000 3.0236
! **ΔE to the lowest computed polymorph**: 0 meV/atom
! **Size of the total moment**: 0.00 μB per cell
! **Density of states at the Fermi level**: 3.5 states/eV per cell
! **Formation enthalpy at 0 K**: -236 meV per atom

Entry 2:
! NdScAu (GGA-PBE, optimized geometry); values from VASP
&SYSTEM
  ibrav = 0, nat = 6, ntyp = 3
/
ATOMIC_SPECIES
Nd 144.24 Nd.upf
Sc 44.96 Sc.upf
Au 196.97 Au.upf
ATOMIC_POSITIONS crystal
Nd 0.0000 0.0000 0.0000
Nd 0.5000 0.5000 0.5000
Sc 0.0000 0.0000 0.2896
Sc 0.5000 0.5000 0.7896
Au 0.0000 0.0000 0.6798
Au 0.5000 0.5000 0.1798
CELL_PARAMETERS angstrom
3.5100 0.0000 0.0000
0.0000 3.5100 0.0000
0.0000 0.0000 12.3675
! **ΔE to the lowest computed polymorph**: 113 meV/atom
! **Size of the total moment**: 0.00 μB per cell
! **Density of states at the Fermi level**: 8.8 states/eV per cell
! **Formation enthalpy at 0 K**: -490 meV per atom

Entry 3:
! Y5SnPd2 (GGA-PBE, optimized geometry); values from VASP
&SYSTEM
  ibrav = 0, nat = 16, ntyp = 3
/
ATOMIC_SPECIES
Y 88.91 Y.upf
Sn 118.71 Sn.upf
Pd 106.42 Pd.upf
ATOMIC_POSITIONS crystal
Y 0.0000 0.0000 0.0000
Y 0.0154 0.5154 0.8155
Y 0.1998 0.0154 0.5000
Y 0.3002 0.8002 0.8155
Y 0.4846 0.3002 0.5000
Y 0.5000 0.5000 0.0000
Y 0.5154 0.6998 0.5000
Y 0.6998 0.1998 0.1845
Y 0.8002 0.9846 0.5000
Y 0.9846 0.4846 0.1845
Sn 0.2500 0.2500 0.0000
Sn 0.7500 0.7500 0.0000
Pd 0.1341 0.3659 0.5000
Pd 0.3659 0.8659 0.2317
Pd 0.6341 0.1341 0.7683
Pd 0.8659 0.6341 0.5000
CELL_PARAMETERS angstrom
-3.9230 3.9230 6.7827
3.9230 -3.9230 6.7827
3.9230 3.9230 -6.7827
! **Size of the total moment**: 0.00 μB per cell
! **Density of states at the Fermi level**: 16.3 states/eV per cell
! **Formation enthalpy at 0 K**: -703 meV per atom